(1)
This record from the Alexandria database describes crystalline GaP2O6 at its relaxed geometry. The functional is PBE.

Results
- density (kg/m3) = 3257
- total magnetic moment (Bohr magnetons per cell) = 0.0
- offset from the most stable computed form (meV per atom) = 0
- volume (Å³/cell) = 116

abc: 4.9271 4.9271 8.2313
angles: 95.13 95.13 35.70
With the nearest neighbours (Å) after each atom.
Fractional positions:
Ga (0.0000, 0.0000, 0.0000)  6 O 1.94-2.02
P (0.2989, 0.2989, 0.2514)  4 O 1.52-1.70
P (0.7011, 0.7011, 0.7486)  4 O 1.52-1.70
O (0.1416, 0.1416, 0.1881)  1 P 1.52
O (0.1650, 0.1650, 0.6607)  2 P 1.70
O (0.3975, 0.3975, 0.1025)  1 P 1.60
O (0.6025, 0.6025, 0.8975)  1 P 1.60
O (0.8350, 0.8350, 0.3393)  2 P 1.70
O (0.8584, 0.8584, 0.8119)  1 P 1.52



(2)
This record from the Alexandria database describes crystalline GaP2O2 at its relaxed geometry. The functional is PBE.

Results
- density (kg/m3) = 4626
- total magnetic moment (Bohr magnetons per cell) = 0.0
- offset from the most stable computed form (meV per atom) = 0
- volume (Å³/cell) = 59

abc: 3.5171 3.5171 4.7489
angles: 90.00 90.00 90.00
With the nearest neighbours (Å) after each atom.
Fractional positions:
Ga (0.0000, 0.0000, 0.0000)  4 P 2.49
P (0.5000, 0.5000, 0.0000)  2 P 2.37, 4 Ga 2.49
P (0.5000, 0.5000, 0.5000)  4 O 1.76
O (0.0000, 0.5000, 0.5000)  2 P 1.76
O (0.5000, 0.0000, 0.5000)  2 P 1.76



(3)
This record from the Alexandria database describes crystalline GaP2O2 at its relaxed geometry. The functional is PBE.

Results
- density (kg/m3) = 3020
- total magnetic moment (Bohr magnetons per cell) = 1.4
- offset from the most stable computed form (meV per atom) = 517
- volume (Å³/cell) = 90

abc: 3.5788 3.5788 7.0259
angles: 90.00 90.00 90.00
With the nearest neighbours (Å) after each atom.
Fractional positions:
Ga (0.0000, 0.0000, 0.0000)  4 O 1.79
P (0.0000, 0.0000, 0.5000)  4 P 2.53
P (0.5000, 0.5000, 0.5000)  4 P 2.53
O (0.0000, 0.5000, 0.0000)  2 Ga 1.79
O (0.5000, 0.0000, 0.0000)  2 Ga 1.79



Respective formation energy (no corrections) values: -1.754, -0.565, -0.048 eV per atom.